(1)
Below is a geometry-optimized MnIr2Rh structure, with properties calculated at the PBEsol level.

Geometry as POSCAR:
```
MnIr2Rh
1.0
1.329 0.768 8.573
-1.329 0.768 8.573
0.000 -1.535 8.573
Mn Ir Rh
1 2 1
direct
0.000 0.000 0.000
0.254 0.254 0.254
0.746 0.746 0.746
0.500 0.500 0.500
```

Results
- ΔH_f (0 K) (eV/atom) = -0.058
- volume (Å³/f.u.) = 52.5
- crystal system = trigonal


(2)
Below is a geometry-optimized Mn2SbIrRh structure, with properties calculated at the PBEsol level.

Geometry as POSCAR:
```
Mn2SbIrRh
1.0
4.726 0.000 0.000
0.000 4.726 0.000
0.000 0.000 4.744
Mn Sb Ir Rh
2 1 1 1
direct
0.000 0.500 0.000
0.500 0.000 0.000
0.000 0.000 0.000
0.000 0.000 0.500
0.500 0.500 0.500
```

Results
- energy relative to the elements, uncorrected (eV/atom) = 1.744
- volume (Å³/f.u.) = 105.9
- crystal system = tetragonal


(3)
Below is a geometry-optimized MnIr2Ru structure, with properties calculated at the PBEsol level.

Geometry as POSCAR:
```
MnIr2Ru
1.0
0.000 3.030 3.030
3.030 0.000 3.030
3.030 3.030 0.000
Mn Ir Ru
1 2 1
direct
0.000 0.000 0.000
0.250 0.250 0.250
0.750 0.750 0.750
0.500 0.500 0.500
```

Results
- ΔH_f (0 K) (eV/atom) = 0.414
- volume (Å³/f.u.) = 55.6
- crystal system = cubic


(4)
Below is a geometry-optimized MnIr2Ru structure, with properties calculated at the PBEsol level.

Geometry as POSCAR:
```
MnIr2Ru
1.0
-1.875 1.875 3.754
1.875 -1.875 3.754
1.875 1.875 -3.754
Mn Ir Ru
1 2 1
direct
0.000 0.000 0.000
0.250 0.750 0.500
0.750 0.250 0.500
0.500 0.500 0.000
```

Results
- ΔH_f (0 K) (eV/atom) = -0.088
- volume (Å³/f.u.) = 52.8
- crystal system = tetragonal


(5)
Below is a geometry-optimized MnIr2Ru structure, with properties calculated at the PBEsol level.

Geometry as POSCAR:
```
MnIr2Ru
1.0
2.672 0.000 0.000
0.000 4.214 0.000
0.000 0.000 4.623
Mn Ir Ru
1 2 1
direct
0.000 0.000 0.000
0.500 0.000 0.507
0.500 0.500 0.163
0.000 0.500 0.677
```

Results
- ΔH_f (0 K) (eV/atom) = -0.111
- volume (Å³/f.u.) = 52.0
- crystal system = orthorhombic


(6)
Below is a geometry-optimized MnIr2Ru structure, with properties calculated at the PBEsol level.

Geometry as POSCAR:
```
MnIr2Ru
1.0
0.000 3.026 3.026
3.026 0.000 3.026
3.026 3.026 0.000
Mn Ir Ru
1 2 1
direct
0.000 0.000 0.000
0.250 0.250 0.250
0.500 0.500 0.500
0.750 0.750 0.750
```

Results
- ΔH_f (0 K) (eV/atom) = 0.397
- volume (Å³/f.u.) = 55.4
- crystal system = cubic